# 1
# BaNi2Mo

A geometry-optimized BaNi2Mo structure (GGA-PBEsol, the Alexandria database).

* ΔE to the lowest computed polymorph: 0.138 eV/atom
* E_form: 1064.1 meV per atom

Cell lengths 4.5258, 4.5258, 4.5258 Å; angles 60.00, 60.00, 60.00 degrees
Fractional positions:
Mo 0.2500 0.2500 0.2500
Ni 0.0000 0.0000 0.0000
Ba 0.5000 0.5000 0.5000
Ni 0.7500 0.7500 0.7500



# 2
# Ta9PO25

A geometry-optimized Ta9PO25 structure (GGA-PBEsol, the Alexandria database).

* uncorrected formation energy: -2.799 eV/atom

Cell lengths 3.8396, 11.2096, 11.2096 Å; angles 88.32, 80.14, 80.14 degrees
Fractional positions:
Ta 0.8859 0.7883 0.4437
O 0.5219 0.5107 0.3829
Ta 0.0981 0.6733 0.1145
O 0.7297 0.2884 0.2687
O 0.1455 0.4895 0.1994
O 0.9674 0.6171 0.5107
O 0.4155 0.4893 0.6171
Ta 0.2285 0.8855 0.6733
O 0.2555 0.1403 0.3670
O 0.3776 0.3670 0.8597
O 0.0951 0.3829 0.4893
O 0.6043 0.6330 0.1403
O 0.1936 0.0440 0.6042
O 0.8876 0.0613 0.1694
O 0.3650 0.8006 0.4895
Ta 0.7874 0.1145 0.3267
O 0.8418 0.9560 0.3958
O 0.6550 0.1994 0.5105
Ta 0.8860 0.3267 0.8855
O 0.8344 0.5105 0.8006
O 0.2868 0.7116 0.7313
O 0.1183 0.9387 0.8306
O 0.9819 0.7313 0.2884
O 0.7627 0.8597 0.6330
P 0.2500 0.5000 0.5000
O 0.0016 0.2687 0.7116
Ta 0.6704 0.4437 0.2117
O 0.5000 0.0000 0.0000
Ta 0.1179 0.2117 0.5563
Ta 0.3258 0.5563 0.7883
O 0.2022 0.6042 0.9560
O 0.7624 0.3958 0.0440
O 0.9430 0.1694 0.9387
O 0.0511 0.8306 0.0613
Ta 0.0000 0.0000 0.0000



# 3
# Mg2TlAs2

A geometry-optimized Mg2TlAs2 structure (GGA-PBEsol, the Alexandria database).

* ΔE to the lowest computed polymorph: 0.000 eV/atom
* E_form: -290.6 meV per atom

Cell lengths 4.5290, 4.5290, 6.5082 Å; angles 110.36, 110.36, 90.00 degrees
Fractional positions:
As 0.6214 0.6214 0.2429
Mg 0.2500 0.7500 0.5000
Tl 0.0000 0.0000 0.0000
As 0.3786 0.3786 0.7571
Mg 0.7500 0.2500 0.5000



# 4
# FeCo3

A geometry-optimized FeCo3 structure (GGA-PBEsol, the Alexandria database).

* E_form: 43.1 meV per atom

Cell lengths 2.4540, 2.4540, 7.0202 Å; angles 90.00, 90.00, 90.00 degrees
Fractional positions:
Fe 0.5000 0.5000 0.0000
Co 0.0000 0.0000 0.2568
Co 0.5000 0.5000 0.5000
Co 0.0000 0.0000 0.7432



# 5
# ReHgW2

A geometry-optimized ReHgW2 structure (GGA-PBEsol, the Alexandria database).

* E_form: 572.4 meV per atom

Cell lengths 3.9552, 3.9552, 4.0670 Å; angles 90.00, 90.00, 90.00 degrees
Fractional positions:
Hg 0.5000 0.5000 0.5000
W 0.0000 0.5000 0.0000
Re 0.0000 0.0000 0.5000
W 0.5000 0.0000 0.0000



# 6
# Mg3AuI

A geometry-optimized Mg3AuI structure (GGA-PBEsol, the Alexandria database).

* uncorrected formation energy: 0.765 eV/atom

Cell lengths 5.4474, 5.4474, 5.4474 Å; angles 90.00, 90.00, 90.00 degrees
Fractional positions:
Mg 0.5000 0.0000 0.0000
I 0.0000 0.0000 0.0000
Mg 0.0000 0.0000 0.5000
Au 0.5000 0.5000 0.5000
Mg 0.0000 0.5000 0.0000



# 7
# LaPbW

A geometry-optimized LaPbW structure (GGA-PBEsol, the Alexandria database).

* E_form: 657.8 meV per atom

Cell lengths 3.0448, 5.1777, 5.1777 Å; angles 120.00, 90.00, 90.00 degrees
Fractional positions:
W 0.0000 0.6667 0.3333
Pb 0.0000 0.3333 0.6667
La 0.5000 0.0000 0.0000



# 8
# AsPdN2

A geometry-optimized AsPdN2 structure (GGA-PBEsol, the Alexandria database).

* uncorrected formation energy: 0.632 eV/atom

Cell lengths 4.8784, 5.3587, 4.8784 Å; angles 62.92, 90.00, 117.08 degrees
Fractional positions:
As 0.2500 0.5000 0.2500
N 0.1854 0.7500 0.8750
N 0.3750 0.2500 0.1854
Pd 0.0000 0.0000 0.0000
As 0.5000 0.0000 0.5000
N 0.8750 0.2500 0.5646
N 0.5646 0.7500 0.3750
Pd 0.7500 0.5000 0.7500



# 9
# GaPAu2

A geometry-optimized GaPAu2 structure (GGA-PBEsol, the Alexandria database).

* E_form: 196.6 meV per atom

Cell lengths 4.5437, 4.5437, 4.5437 Å; angles 60.00, 60.00, 60.00 degrees
Fractional positions:
Au 0.7500 0.7500 0.7500
Au 0.2500 0.2500 0.2500
Ga 0.5000 0.5000 0.5000
P 0.0000 0.0000 0.0000



# 10
# LaAgSN2

A geometry-optimized LaAgSN2 structure (GGA-PBEsol, the Alexandria database).

* uncorrected formation energy: 0.862 eV/atom
* ΔE to the lowest computed polymorph: 0.515 eV/atom

Cell lengths 4.0550, 4.0550, 6.0419 Å; angles 90.00, 90.00, 90.00 degrees
Fractional positions:
S 0.0000 0.0000 0.5000
La 0.0000 0.0000 0.0000
N 0.5000 0.0000 0.0000
Ag 0.5000 0.5000 0.5000
N 0.0000 0.5000 0.0000



# 11
# YMg2W

A geometry-optimized YMg2W structure (GGA-PBEsol, the Alexandria database).

* ΔE to the lowest computed polymorph: 0.063 eV/atom
* E_form: 520.0 meV per atom

Cell lengths 2.8921, 5.4133, 6.0343 Å; angles 115.18, 101.33, 95.52 degrees
Fractional positions:
Y 0.0000 0.5000 0.0000
Mg 0.5000 0.5000 0.5000
Mg 0.0000 0.0000 0.5000
W 0.5000 0.0000 0.0000



# 12
# Cr4FeIr

A geometry-optimized Cr4FeIr structure (GGA-PBEsol, the Alexandria database).

* E_form: 46.6 meV per atom

Cell lengths 4.6110, 4.6110, 4.6110 Å; angles 60.00, 60.00, 60.00 degrees
Fractional positions:
Cr 0.3767 0.3767 0.8699
Cr 0.8699 0.3767 0.3767
Ir 0.0000 0.0000 0.0000
Fe 0.7500 0.7500 0.7500
Cr 0.3767 0.3767 0.3767
Cr 0.3767 0.8699 0.3767



Number 1: N(E_F) 3.349 states/eV/cell. Number 2: N(E_F) 0.000 states/eV/cell. Number 3: N(E_F) 2.554 states/eV/cell. Number 4: N(E_F) 4.256 states/eV/cell. Number 5: N(E_F) 2.111 states/eV/cell. Number 6: N(E_F) 3.240 states/eV/cell. Number 7: N(E_F) 4.059 states/eV/cell. Number 8: N(E_F) 4.199 states/eV/cell. Number 9: N(E_F) 1.488 states/eV/cell. Number 10: N(E_F) 2.804 states/eV/cell. Number 11: N(E_F) 3.292 states/eV/cell. Number 12: N(E_F) 4.610 states/eV/cell.